CaInO2F GGA-PBE relaxed; DFT total energy = -5.43 eV per atom
1.0
4.1885 0.0000 0.0000
0.0000 4.1885 0.0000
0.0000 0.0000 4.1921
Ca F O In
1 1 2 1
direct
0.5000 0.5000 0.5000
0.0000 0.0000 0.5000
0.0000 0.5000 0.0000
0.5000 0.0000 0.0000
0.0000 0.0000 0.0000

VFe14Si GGA-PBE relaxed; DFT total energy = -8.42 eV per atom
1.0
4.9053 0.1590 0.0000
-1.7762 4.5752 0.0000
0.0000 0.0000 8.0190
V Fe Si
1 14 1
direct
0.6250 0.3750 0.5000
0.1249 0.8751 0.0000
0.6249 0.3751 0.0000
0.1250 0.3750 0.5000
0.1249 0.3751 0.0000
0.6250 0.8750 0.5000
0.6249 0.8751 0.0000
0.3744 0.1244 0.7495
0.3744 0.1244 0.2505
0.8756 0.6256 0.7495
0.8756 0.6256 0.2505
0.3736 0.6264 0.7494
0.3736 0.6264 0.2506
0.8765 0.1235 0.7494
0.8765 0.1235 0.2506
0.1251 0.8749 0.5000

Ir2PtAu GGA-PBE relaxed; energy relative to the elements = 2.0 eV/f.u.
1.0
0.0000 3.1645 3.1645
3.1645 0.0000 3.1645
3.1645 3.1645 0.0000
Ir Au Pt
2 1 1
direct
0.2500 0.2500 0.2500
0.7500 0.7500 0.7500
0.5000 0.5000 0.5000
0.0000 0.0000 0.0000

La7Pm5 GGA-PBE relaxed; energy relative to the elements = 1.5 eV/f.u.
1.0
6.0075 0.0000 0.0000
-3.0038 4.9367 -0.3963
0.0000 -2.5357 14.8464
La Pm
7 5
direct
0.2426 0.4853 0.6718
0.7574 0.5147 0.3282
0.0385 0.0770 0.2134
0.9615 0.9230 0.7866
0.6812 0.3623 0.0852
0.5000 0.0000 0.5000
0.3188 0.6377 0.9148
0.1329 0.2657 0.4390
0.8671 0.7343 0.5610
0.3784 0.7567 0.2013
0.6216 0.2433 0.7987
0.0000 0.0000 0.0000

ErUPb2O6 GGA-PBE relaxed; DFT total energy = -7.80 eV per atom
1.0
6.0078 0.0000 -0.0142
0.0000 6.1075 0.0000
0.0324 0.0000 8.5779
Er U Pb O
2 2 4 12
direct
0.5000 0.0000 0.0000
0.0000 0.5000 0.5000
0.5000 0.0000 0.5000
0.0000 0.5000 0.0000
0.0057 0.9726 0.2509
0.5057 0.5274 0.7509
0.9943 0.0274 0.7491
0.4943 0.4726 0.2491
0.2940 0.6960 0.0442
0.7940 0.8040 0.5442
0.7060 0.3040 0.9558
0.2060 0.1960 0.4558
0.3059 0.7080 0.4526
0.8059 0.7920 0.9526
0.6941 0.2920 0.5474
0.1941 0.2080 0.0474
0.9094 0.5226 0.2445
0.4094 0.9774 0.7445
0.0906 0.4774 0.7555
0.5906 0.0226 0.2555

Rb3NbF12 GGA-PBE relaxed; DFT total energy = -4.31 eV per atom
1.0
6.9132 4.1230 -0.1192
-6.9132 4.1230 -0.1192
0.0000 0.3697 7.2166
Rb Nb F
3 1 12
direct
0.0000 0.0000 0.5000
0.0000 0.5000 0.0000
0.5000 0.0000 0.0000
0.0000 0.0000 0.0000
0.9448 0.7728 0.8343
0.0552 0.2272 0.1657
0.4139 0.9040 0.5036
0.2272 0.0552 0.1657
0.5861 0.0960 0.4964
0.7728 0.9448 0.8343
0.9419 0.7695 0.1680
0.0960 0.5861 0.4964
0.0581 0.2305 0.8320
0.9040 0.4139 0.5036
0.2305 0.0581 0.8320
0.7695 0.9419 0.1680

CsB3O GGA-PBE relaxed; DFT total energy = -1.42 eV per atom
1.0
-3.2193 -2.3770 -3.2962
-3.1836 -1.1385 3.9303
-2.5258 4.4646 -0.7526
Cs B O
1 3 1
direct
0.0000 0.0000 0.0000
0.0000 0.5000 0.0000
0.0000 0.0000 0.5000
0.5000 0.0000 0.0000
0.5000 0.5000 0.5000

FeAgTePd GGA-PBE relaxed; DFT total energy = -4.75 eV per atom
1.0
-0.5826 2.6773 -3.5803
-1.4786 -4.2578 -0.1048
-10.6026 3.5738 4.3977
Te Pd Ag Fe
3 3 3 3
direct
0.0000 0.0000 0.2105
0.3333 0.6667 0.8771
0.6667 0.3333 0.5438
0.0000 0.0000 0.4413
0.3333 0.6667 0.1079
0.6667 0.3333 0.7746
0.0000 0.0000 0.6851
0.3333 0.6667 0.3518
0.6667 0.3333 0.0184
0.0000 0.0000 0.9170
0.3333 0.6667 0.5837
0.6667 0.3333 0.2504

| no. | volume (Å³ per cell) |
| --- | --- |
| 1 | 73.5 |
| 2 | 182.2 |
| 3 | 63.4 |
| 4 | 434.3 |
| 5 | 314.8 |
| 6 | 412.0 |
| 7 | 139.4 |
| 8 | 211.6 |